# BeAs2W (GGA-PBE, relaxed)
data_BeAs2W
_chemical_formula_sum 'Be1 As2 W1'
_cell_length_a 4.410
_cell_length_b 4.410
_cell_length_c 4.410
_cell_angle_alpha 60.00
_cell_angle_beta 60.00
_cell_angle_gamma 60.00
_space_group_name_H-M_alt 'P 1'
_space_group_IT_number 1
loop_
_space_group_symop_operation_xyz
'x,y,z'
loop_
_atom_site_label
_atom_site_type_symbol
_atom_site_fract_x
_atom_site_fract_y
_atom_site_fract_z
Be1 Be 0.500 0.500 0.500
As1 As 0.000 0.000 0.000
As2 As 0.250 0.250 0.250
W1 W 0.750 0.750 0.750
# magnetic moment = 0.04 μB/f.u.
# space group = F-43m
# energy relative to the elements = 0.84 eV/atom
# calculated volume = 61 Å³ per cell